Below is a relaxed NdUS2 crystal, with properties calculated at the GGA-PBE level.

Unit cell a=3.594 b=5.196 c=10.039 alpha=90.00 beta=90.00 gamma=90.00
Fractional coordinates of all 8 atoms:
Nd 0.500 0.000 0.122
Nd 0.000 0.500 0.878
U 0.500 0.500 0.392
U 0.000 0.000 0.608
S 0.000 0.500 0.167
S 0.500 0.000 0.401
S 0.000 0.500 0.599
S 0.500 0.000 0.833

Calculated values
space group: Pmmn, No. 59
total moment: 2.753 μB per formula unit
energy relative to the lowest polymorph listed for this composition: 0.335 eV per atom
total energy: -7.4122 eV per atom